Density functional theory data (PBE) for a geometry-optimized CsNaPt3 structure.

As for the spin magnetization: 0.000 μB per cell. The formation energy comes out at 1.119 eV per atom. Its energy above the most stable polymorph in this dataset is 0 meV per atom.

The space group is Pm-3m (No. 221) and the conventional cell measures 5.0236, 5.0236 and 5.0236 Å, with angles of 90.00, 90.00 and 90.00 degrees. The distinct sites, in fractional coordinates, are Cs at (0.0000, 0.0000, 0.0000), Na at (0.5000, 0.5000, 0.5000) and Pt at (0.0000, 0.5000, 0.5000).

Density functional theory data (PBE) for a geometry-optimized CsNaPt2 structure.

As for the spin magnetization: 0.000 μB per cell. The formation energy comes out at 0.633 eV per atom.

The space group is Fm-3m (No. 225) and the conventional cell measures 7.2761, 7.2761 and 7.2761 Å, with angles of 90.00, 90.00 and 90.00 degrees. The distinct sites, in fractional coordinates, are Cs at (0.0000, 0.0000, 0.0000), Na at (0.0000, 0.0000, 0.5000) and Pt at (0.2500, 0.2500, 0.2500).

Density functional theory data (PBE) for a geometry-optimized CsNaPt structure.

As for the spin magnetization: 0.128 μB per cell. The formation energy comes out at 0.044 eV per atom. Its energy above the most stable polymorph in this dataset is 70 meV per atom.

The space group is P-6m2 (No. 187) and the conventional cell measures 4.9237, 4.9237 and 4.9691 Å, with angles of 90.00, 90.00 and 120.00 degrees. The distinct sites, in fractional coordinates, are Cs at (0.0000, 0.0000, 0.0000), Na at (0.3333, 0.6667, 0.5000) and Pt at (0.6667, 0.3333, 0.5000).

Density functional theory data (PBE) for a geometry-optimized CsNaPt4 structure.

As for the spin magnetization: 0.000 μB per cell. The formation energy comes out at -0.050 eV per atom.

The space group is F-43m (No. 216) and the conventional cell measures 7.8767, 7.8767 and 7.8767 Å, with angles of 90.00, 90.00 and 90.00 degrees. The distinct sites, in fractional coordinates, are Cs at (0.0000, 0.0000, 0.0000), Na at (0.2500, 0.2500, 0.7500) and Pt at (0.1245, 0.1245, 0.3755).

Which formula does entry 3 have?
CsNaPt